No. 1
Here is a geometry-optimized NbCuPd5 structure from the Alexandria database. Energies are from PBE.

Output
Excess energy over the best structure of this formula in the dataset = 155.7 meV per atom
V = 16.65 Å³ per atom
DOS at the Fermi energy = 12.65 states/eV per cell
Total magnetization = 0.00 μB/cell
E = -162.1 eV per cell
Formation energy = -0.0569 eV per atom

a = 7.4064 Å, b = 11.0211 Å, c = 5.7126 Å
α = 90.00°, β = 90.00°, γ = 90.00°
Space group Imma (No. 74)
Symmetry-distinct sites (fractional):
Nb 0.0000 0.2500 0.2191
Cu 0.0000 0.0000 0.0000
Pd 0.0000 0.2500 0.7898
Pd 0.2098 0.1214 0.4944

---

No. 2
Here is a geometry-optimized NbCu2Pd structure from the Alexandria database. Energies are from PBE.

Output
Excess energy over the best structure of this formula in the dataset = 0.0 meV per atom
V = 14.28 Å³ per atom
DOS at the Fermi energy = 11.55 states/eV per cell
Total magnetization = 0.00 μB/cell
E = -94.5 eV per cell
Formation energy = -0.0404 eV per atom

a = 6.1137 Å, b = 6.1137 Å, c = 6.1137 Å
α = 90.00°, β = 90.00°, γ = 90.00°
Space group Fm-3m (No. 225)
Symmetry-distinct sites (fractional):
Nb 0.0000 0.0000 0.0000
Cu 0.2500 0.2500 0.2500
Pd 0.0000 0.0000 0.5000

---

No. 3
Here is a geometry-optimized Nb2Cu2Pd structure from the Alexandria database. Energies are from PBE.

Output
Excess energy over the best structure of this formula in the dataset = 192.1 meV per atom
V = 16.09 Å³ per atom
DOS at the Fermi energy = 6.60 states/eV per cell
Total magnetization = 0.00 μB/cell
E = -64.4 eV per cell
Formation energy = 0.2689 eV per atom

a = 7.7120 Å, b = 7.7120 Å, c = 2.7056 Å
α = 90.00°, β = 90.00°, γ = 90.00°
Space group P4/mbm (No. 127)
Symmetry-distinct sites (fractional):
Nb 0.1310 0.3690 0.0000
Cu 0.1663 0.6663 0.5000
Pd 0.0000 0.0000 0.0000

---

No. 4
Here is a geometry-optimized Nb2Cu2Pd structure from the Alexandria database. Energies are from PBE.

Output
Excess energy over the best structure of this formula in the dataset = 269.9 meV per atom
V = 16.18 Å³ per atom
DOS at the Fermi energy = 10.56 states/eV per cell
Total magnetization = 0.00 μB/cell
E = -63.6 eV per cell
Formation energy = 0.3467 eV per atom

a = 3.1874 Å, b = 3.1874 Å, c = 15.9245 Å
α = 90.00°, β = 90.00°, γ = 90.00°
Space group I4/mmm (No. 139)
Symmetry-distinct sites (fractional):
Nb 0.0000 0.0000 0.1083
Cu 0.0000 0.5000 0.2500
Pd 0.0000 0.0000 0.5000

---

No. 5
Here is a geometry-optimized NbCuPd5 structure from the Alexandria database. Energies are from PBE.

Output
Excess energy over the best structure of this formula in the dataset = 0.0 meV per atom
V = 16.04 Å³ per atom
DOS at the Fermi energy = 4.88 states/eV per cell
Total magnetization = 0.00 μB/cell
E = -41.6 eV per cell
Formation energy = -0.2126 eV per atom

a = 4.0649 Å, b = 4.0649 Å, c = 6.7965 Å
α = 90.00°, β = 90.00°, γ = 90.00°
Space group P4/mmm (No. 123)
Symmetry-distinct sites (fractional):
Nb 0.0000 0.0000 0.0000
Cu 0.5000 0.5000 0.5000
Pd 0.0000 0.5000 0.2743
Pd 0.5000 0.5000 0.0000

---

No. 6
Here is a geometry-optimized NbCuPd3 structure from the Alexandria database. Energies are from PBE.

Output
Excess energy over the best structure of this formula in the dataset = 842.8 meV per atom
V = 18.59 Å³ per atom
DOS at the Fermi energy = 5.98 states/eV per cell
Total magnetization = 2.17 μB/cell
E = -25.7 eV per cell
Formation energy = 0.8048 eV per atom

a = 4.5300 Å, b = 4.5300 Å, c = 4.5300 Å
α = 90.00°, β = 90.00°, γ = 90.00°
Space group Pm-3m (No. 221)
Symmetry-distinct sites (fractional):
Nb 0.0000 0.0000 0.0000
Cu 0.5000 0.5000 0.5000
Pd 0.0000 0.5000 0.5000